(1)
CrTe after structural relaxation. Source: Alexandria via LeMat-Bulk, functional GGA-PBE. Values from VASP.

Quantum ESPRESSO input file:
```
&SYSTEM
  ibrav = 0, nat = 4, ntyp = 2
/
ATOMIC_SPECIES
Te 127.60 Te.upf
Cr 52.00 Cr.upf
ATOMIC_POSITIONS crystal
Te 0.0000 0.5000 0.1733
Te 0.5000 0.0000 0.6601
Cr 0.5000 0.5000 0.9172
Cr 0.0000 0.0000 0.9161
CELL_PARAMETERS angstrom
-3.1550 1.7096 -0.6975
-1.5674 -1.7689 2.7542
1.9147 5.3908 4.5520
```

## Properties
size of the total moment = 0.38 μB per formula unit
calculated volume = 24.2 Å³ per atom
energy = -12.7 eV per formula unit
D(E_F) = 2.9 states/eV/cell
ΔE_f (raw) = 0.03 eV per atom

***

(2)
PuBrF2 after structural relaxation. Source: Alexandria via LeMat-Bulk, functional GGA-PBE. Values from VASP.

Quantum ESPRESSO input file:
```
&SYSTEM
  ibrav = 0, nat = 8, ntyp = 3
/
ATOMIC_SPECIES
Br 79.90 Br.upf
Pu 244.00 Pu.upf
F 19.00 F.upf
ATOMIC_POSITIONS crystal
Br 0.0482 0.0963 0.7500
Pu 0.2284 0.4568 0.2500
Pu 0.7716 0.5432 0.7500
Br 0.9518 0.9037 0.2500
F 0.3121 0.6241 0.9311
F 0.3121 0.6241 0.5689
F 0.6879 0.3759 0.0689
F 0.6879 0.3759 0.4311
CELL_PARAMETERS angstrom
3.9720 -0.0004 0.0000
-1.9866 5.4036 0.0000
0.0000 0.0000 7.2240
```

## Properties
size of the total moment = 5.00 μB per formula unit
calculated volume = 19.4 Å³ per atom
energy = -31.4 eV per formula unit
D(E_F) = 15.2 states/eV/cell
ΔE_f (raw) = -2.90 eV per atom
E above lowest polymorph = 0.0 meV per atom